# 1
The following is a DFT calculation (GGA-PBE) of a geometry-optimized YMgReMo structure.

Unit cell a=4.696 b=4.696 c=4.696 alpha=60.00 beta=60.00 gamma=60.00
Fractional coordinates of all 4 atoms:
Mo1 0.250 0.250 0.250
Mg1 0.750 0.750 0.750
Y1 0.000 0.000 0.000
Re1 0.500 0.500 0.500

SG: F-43m
DFT total energy: -7.52 eV/atom
Relative energy among the computed polymorphs: 0.004 eV per atom

***

# 2
The following is a DFT calculation (GGA-PBE) of a geometry-optimized SmMgMo structure.

Unit cell a=4.870 b=4.870 c=4.870 alpha=60.00 beta=60.00 gamma=60.00
Fractional coordinates of all 3 atoms:
Mo1 0.000 0.000 0.000
Sm1 0.750 0.750 0.750
Mg1 0.250 0.250 0.250

SG: F-43m
DFT total energy: -4.78 eV/atom
Relative energy among the computed polymorphs: 0.000 eV per atom

***

# 3
The following is a DFT calculation (GGA-PBE) of a geometry-optimized SmMgMo structure.

Unit cell a=4.930 b=4.930 c=4.930 alpha=60.00 beta=60.00 gamma=60.00
Fractional coordinates of all 3 atoms:
Mg1 0.250 0.250 0.250
Mo1 0.750 0.750 0.750
Sm1 0.000 0.000 0.000

SG: F-43m
DFT total energy: -4.39 eV/atom
Relative energy among the computed polymorphs: 0.394 eV per atom

***

The lowest relative energy among the computed polymorphs belongs to which entry? number 2

***

What is the formula in the second record? SmMgMo